Entry 1:
VASP calculation (PBE) on a relaxed Sc2ZnAg8 crystal.

abc: 7.1272 7.1272 7.3686
angles: 120.09 120.09 39.51
Last column: nearest neighbours and their distance in Å.
Element x y z (fractional)
Sc: 0.2247 0.2247 0.3027  9 Ag 2.86-3.12, 1 Zn 3.17
Sc: 0.7753 0.7753 0.6973  9 Ag 2.86-3.12, 1 Zn 3.17
Zn: 0.5000 0.5000 0.5000  8 Ag 2.70-2.99
Ag: 0.0426 0.0426 0.8588  7 Ag 2.83-2.88, 2 Sc 2.86-3.12
Ag: 0.1323 0.1323 0.5879  4 Ag 2.83-3.06, 2 Zn 2.85, 3 Sc 2.91-2.95
Ag: 0.3194 0.3194 0.0301  7 Ag 2.86-3.07, 1 Sc 2.89, 1 Zn 2.99
Ag: 0.4121 0.4121 0.7551  1 Zn 2.70, 3 Ag 2.83-2.89, 3 Sc 2.92
Ag: 0.5879 0.5879 0.2449  1 Zn 2.70, 3 Ag 2.83-2.89, 3 Sc 2.92
Ag: 0.6806 0.6806 0.9699  7 Ag 2.86-3.07, 1 Sc 2.89, 1 Zn 2.99
Ag: 0.8677 0.8677 0.4121  4 Ag 2.83-3.06, 2 Zn 2.85, 3 Sc 2.91-2.95
Ag: 0.9574 0.9574 0.1412  7 Ag 2.83-2.88, 2 Sc 2.86-3.12

Summary:
Fermi-level density of states = 5.35 states/eV/cell
energy of formation = -114 meV per atom
total energy = -38.0 eV for the cell shown

Entry 2:
VASP calculation (PBE) on a relaxed CoSn2Ru crystal.

abc: 3.2088 3.2088 6.3621
angles: 90.00 90.00 90.00
Last column: nearest neighbours and their distance in Å.
Element x y z (fractional)
Co: 0.0000 0.0000 0.0000  8 Sn 2.74
Sn: 0.5000 0.5000 0.2424  4 Co 2.74, 4 Ru 2.80
Sn: 0.5000 0.5000 0.7576  4 Co 2.74, 4 Ru 2.80
Ru: 0.0000 0.0000 0.5000  8 Sn 2.80

Summary:
Fermi-level density of states = 2.07 states/eV/cell
energy of formation = 39 meV per atom
total energy = -24.2 eV for the cell shown

Entry 3:
VASP calculation (PBE) on a relaxed KTeSeI2 crystal.

abc: 5.9339 5.9339 5.6308
angles: 90.00 90.00 90.00
Last column: nearest neighbours and their distance in Å.
Element x y z (fractional)
K: 0.0000 0.0000 0.0000  8 I 4.09, 4 Te 4.20
Te: 0.5000 0.5000 0.0000  2 Se 2.82
Se: 0.5000 0.5000 0.5000  2 Te 2.82, 4 I 2.97
I: 0.0000 0.5000 0.5000  2 Se 2.97
I: 0.5000 0.0000 0.5000  2 Se 2.97

Summary:
uncorrected formation energy = -1.60 eV/f.u.
Fermi-level density of states = 4.85 states/eV/cell
total energy = -12.4 eV for the cell shown

Entry 4:
VASP calculation (PBE) on a relaxed Li2FeTc crystal.

abc: 4.0620 4.0620 4.0620
angles: 119.96 119.96 90.07
Last column: nearest neighbours and their distance in Å.
Element x y z (fractional)
Li: 0.0000 0.0000 0.0000  4 Tc 2.49, 4 Li 2.49
Li: 0.7500 0.2500 0.5000  4 Fe 2.49, 4 Li 2.49
Fe: 0.5000 0.5000 0.0000  4 Tc 2.49, 4 Li 2.49
Tc: 0.2500 0.7500 0.5000  4 Fe 2.49, 4 Li 2.49

Summary:
Fermi-level density of states = 1.91 states/eV/cell
energy of formation = 280 meV per atom
total energy = -21.5 eV for the cell shown

Entry 5:
VASP calculation (PBE) on a relaxed Sm4Er5Mg2 crystal.

abc: 3.4864 8.6314 11.5330
angles: 84.11 89.94 78.36
Last column: nearest neighbours and their distance in Å.
Element x y z (fractional)
Sm: 0.0400 0.4174 0.2872  4 Mg 3.42-3.64, 4 Sm 3.49-3.55, 5 Er 3.51-3.74
Sm: 0.3623 0.7700 0.1846  1 Mg 3.19, 6 Er 3.26-3.53, 4 Sm 3.49-3.55
Sm: 0.6377 0.2300 0.8154  1 Mg 3.19, 6 Er 3.26-3.53, 4 Sm 3.49-3.55
Sm: 0.9600 0.5826 0.7128  4 Mg 3.42-3.64, 4 Sm 3.49-3.55, 5 Er 3.51-3.74
Er: 0.1787 0.1433 0.0783  4 Sm 3.26-3.51, 6 Er 3.49-3.62
Er: 0.2638 0.9729 0.6463  3 Mg 3.39-3.49, 6 Er 3.49-3.79, 4 Sm 3.52-3.74
Er: 0.5000 0.5000 0.0000  2 Sm 3.28, 6 Er 3.49-3.52
Er: 0.7362 0.0271 0.3537  3 Mg 3.39-3.49, 6 Er 3.49-3.79, 4 Sm 3.52-3.74
Er: 0.8213 0.8567 0.9217  4 Sm 3.26-3.51, 6 Er 3.49-3.62
Mg: 0.4119 0.6867 0.4605  3 Sm 3.19-3.43, 3 Mg 3.19-3.49, 3 Er 3.39-3.49
Mg: 0.5881 0.3133 0.5395  3 Sm 3.19-3.43, 3 Mg 3.19-3.49, 3 Er 3.39-3.49

Summary:
Fermi-level density of states = 14.95 states/eV/cell
energy of formation = 37 meV per atom
total energy = -44.5 eV for the cell shown

Entry 6:
VASP calculation (PBE) on a relaxed CdAuBr2 crystal.

abc: 6.3413 6.3413 6.3413
angles: 145.81 103.03 86.98
Last column: nearest neighbours and their distance in Å.
Element x y z (fractional)
Cd: 0.0000 0.0000 0.0000  2 Br 2.67, 2 Au 2.74
Au: 0.2187 0.7187 0.5000  2 Br 2.64, 2 Cd 2.74
Br: 0.4216 0.4216 0.0000  2 Au 2.64
Br: 0.7925 0.2925 0.5000  2 Cd 2.67

Summary:
uncorrected formation energy = -0.89 eV/f.u.
Fermi-level density of states = 0.93 states/eV/cell
total energy = -8.4 eV for the cell shown

Entry 7:
VASP calculation (PBE) on a relaxed Ir2WBr crystal.

abc: 4.0116 4.0116 4.0137
angles: 90.00 90.00 90.00
Last column: nearest neighbours and their distance in Å.
Element x y z (fractional)
Ir: 0.0000 0.5000 0.0000  4 Ir 2.84, 4 W 2.84, 4 Br 2.84
Ir: 0.5000 0.0000 0.0000  4 Ir 2.84, 4 W 2.84, 4 Br 2.84
W: 0.0000 0.0000 0.5000  4 Br 2.84, 8 Ir 2.84
Br: 0.5000 0.5000 0.5000  4 W 2.84, 8 Ir 2.84

Summary:
uncorrected formation energy = 5.02 eV/f.u.
Fermi-level density of states = 4.59 states/eV/cell
total energy = -27.3 eV for the cell shown

Entry 8:
VASP calculation (PBE) on a relaxed ZrFe2SnRu crystal.

abc: 4.4263 4.4263 4.9280
angles: 90.00 90.00 90.00
Last column: nearest neighbours and their distance in Å.
Element x y z (fractional)
Zr: 0.0000 0.0000 0.0000  4 Sn 3.13, 8 Fe 3.31
Fe: 0.0000 0.5000 0.5000  2 Ru 2.21
Fe: 0.5000 0.0000 0.5000  2 Ru 2.21
Sn: 0.5000 0.5000 0.0000  2 Ru 2.46
Ru: 0.5000 0.5000 0.5000  4 Fe 2.21, 2 Sn 2.46

Summary:
Fermi-level density of states = 7.50 states/eV/cell
energy of formation = 981 meV per atom
total energy = -33.8 eV for the cell shown

Entry 9:
VASP calculation (PBE) on a relaxed InAg2Br2 crystal.

abc: 6.1294 6.1294 6.1294
angles: 127.60 127.60 77.28
Last column: nearest neighbours and their distance in Å.
Element x y z (fractional)
In: 0.0000 0.0000 0.0000  2 Ag 3.41, 8 Br 3.61
Ag: 0.3563 0.3563 0.0000  1 Ag 2.75, 4 Br 2.89
Ag: 0.6437 0.6437 0.0000  1 Ag 2.75, 4 Br 2.89
Br: 0.2500 0.7500 0.5000  4 Ag 2.89
Br: 0.7500 0.2500 0.5000  4 Ag 2.89

Summary:
uncorrected formation energy = -0.43 eV/f.u.
Fermi-level density of states = 2.94 states/eV/cell
total energy = -12.2 eV for the cell shown

Entry 10:
VASP calculation (PBE) on a relaxed KTl2Br crystal.

abc: 4.5324 4.4292 7.9021
angles: 90.00 106.44 90.00
Last column: nearest neighbours and their distance in Å.
Element x y z (fractional)
K: 0.0000 0.0000 0.0000  4 Br 3.18
Tl: 0.2986 0.5000 0.5814  4 Tl 3.29, 1 Br 3.48
Tl: 0.7410 0.0000 0.4659  4 Tl 3.29
Br: 0.5199 0.5000 0.0404  4 K 3.18, 1 Tl 3.48

Summary:
uncorrected formation energy = -2.46 eV/f.u.
Fermi-level density of states = 1.81 states/eV/cell
total energy = -10.0 eV for the cell shown

Entry 11:
VASP calculation (PBE) on a relaxed Pm3Sm2Te6 crystal.

abc: 7.6661 7.6661 7.6652
angles: 99.69 99.69 119.79
Last column: nearest neighbours and their distance in Å.
Element x y z (fractional)
Pm: 0.0000 0.0000 0.0000  6 Te 3.14-3.23
Pm: 0.3312 0.6688 0.0000  6 Te 3.14-3.21
Pm: 0.6688 0.3312 0.0000  6 Te 3.14-3.21
Sm: 0.1645 0.8355 0.5000  6 Te 3.11-3.14
Sm: 0.8355 0.1645 0.5000  6 Te 3.11-3.14
Te: 0.0966 0.4202 0.2586  3 Pm 3.14-3.21, 2 Sm 3.14
Te: 0.2580 0.2580 0.7429  2 Sm 3.11, 3 Pm 3.15-3.23
Te: 0.4202 0.0966 0.2586  3 Pm 3.14-3.21, 2 Sm 3.14
Te: 0.5798 0.9034 0.7414  3 Pm 3.14-3.21, 2 Sm 3.14
Te: 0.7420 0.7420 0.2571  2 Sm 3.11, 3 Pm 3.15-3.23
Te: 0.9034 0.5798 0.7414  3 Pm 3.14-3.21, 2 Sm 3.14

Summary:
uncorrected formation energy = -16.09 eV/f.u.
Fermi-level density of states = 5.31 states/eV/cell
total energy = -58.6 eV for the cell shown

Entry 12:
VASP calculation (PBE) on a relaxed Al2InGa7 crystal.

abc: 7.9877 7.9877 4.1965
angles: 90.00 90.00 121.39
Last column: nearest neighbours and their distance in Å.
Element x y z (fractional)
Al: 0.2006 0.7994 0.0000  5 Ga 2.54-2.79
Al: 0.7994 0.2006 0.0000  5 Ga 2.54-2.79
In: 0.5000 0.5000 0.5000  10 Ga 2.73-3.05
Ga: 0.0000 0.0000 0.0000  4 Ga 2.78, 2 Al 2.79
Ga: 0.1867 0.4060 0.0000  1 Al 2.64, 3 Ga 2.78-2.90
Ga: 0.3037 0.6963 0.5000  2 Al 2.54, 1 In 2.73
Ga: 0.4060 0.1867 0.0000  1 Al 2.64, 3 Ga 2.78-2.90
Ga: 0.5940 0.8133 0.0000  1 Al 2.64, 3 Ga 2.78-2.90
Ga: 0.6963 0.3037 0.5000  2 Al 2.54, 1 In 2.73
Ga: 0.8133 0.5940 0.0000  1 Al 2.64, 3 Ga 2.78-2.90

Summary:
Fermi-level density of states = 2.75 states/eV/cell
energy of formation = 192 meV per atom
total energy = -29.5 eV for the cell shown

Question: Which of these has the lowest Fermi-level density of states?
Answer: CdAuBr2

Question: Among the records above, which one has the highest total energy?
Answer: CdAuBr2